[1]
Computed, not measured: a relaxed Mn2VCr2 crystal at the GGA-PBE level of DFT.

Cell lengths 6.745, 6.745, 2.656 Å; angles 90.00, 90.00, 90.00 degrees
Atoms (fractional coordinates):
Cr  0.156  0.656  0.500
Cr  0.656  0.844  0.500
Cr  0.344  0.156  0.500
Cr  0.844  0.344  0.500
V  0.500  0.500  0.000
V  0.000  0.000  0.000
Mn  0.145  0.355  0.000
Mn  0.855  0.645  0.000
Mn  0.645  0.145  0.000
Mn  0.355  0.855  0.000

## Properties
Space group: P4/mbm, No. 127
Formation energy in meV per atom: 223



[2]
Computed, not measured: a relaxed FeSb2Pb crystal at the GGA-PBE level of DFT.

Cell lengths 9.304, 9.304, 9.304 Å; angles 159.72, 159.37, 29.08 degrees
Atoms (fractional coordinates):
Sb  0.660  0.160  0.500
Sb  0.979  0.979  0.000
Fe  0.547  0.547  0.000
Pb  0.314  0.814  0.500

## Properties
Space group: Imm2, No. 44
Raw formation energy in eV per atom: 0.19



[3]
Computed, not measured: a relaxed ZrZn2Sb crystal at the GGA-PBE level of DFT.

Cell lengths 4.659, 3.102, 5.462 Å; angles 89.85, 90.00, 90.00 degrees
Atoms (fractional coordinates):
Zn  0.000  0.751  0.026
Zn  0.000  0.749  0.474
Zr  0.500  0.250  0.250
Sb  0.500  0.750  0.750

## Properties
Space group: P2/m, No. 10
Raw formation energy in eV per atom: -0.12



[4]
Computed, not measured: a relaxed Ca2BeSb crystal at the GGA-PBE level of DFT.

Cell lengths 4.171, 4.932, 4.932 Å; angles 90.00, 90.00, 90.00 degrees
Atoms (fractional coordinates):
Be  0.500  0.000  0.500
Sb  0.500  0.500  0.000
Ca  0.000  0.500  0.500
Ca  0.000  0.000  0.000

## Properties
Space group: P4/mmm, No. 123
Raw formation energy in eV per atom: -0.25



Number 1: magnetic moment 0.46 μB per formula unit, calculated volume 120.8 Å³/cell, theoretical density 7.28 g/cm3. Number 2: magnetic moment 1.54 μB per formula unit, calculated volume 98.3 Å³/cell, theoretical density 8.56 g/cm3. Number 3: magnetic moment 0.00 μB per formula unit, calculated volume 78.9 Å³/cell, theoretical density 7.23 g/cm3. Number 4: magnetic moment 0.00 μB per formula unit, calculated volume 101.4 Å³/cell, theoretical density 3.45 g/cm3.